Entry 1:
MnNiAu2, PBEsol geometry, DFT meta-GGA SCAN; DOS at the Fermi energy = 0.35 states/eV/atom; formation energy from the elements = -0.251 eV per atom; SG = No. 139
1.0
-1.937 1.937 3.841
1.937 -1.937 3.841
1.937 1.937 -3.841
Mn Ni Au
1 1 2
Cartesian
0.000 0.000 0.000
0.000 0.000 3.841
1.937 0.000 1.920
0.000 1.937 1.920


Entry 2:
MnNi2Au, PBEsol geometry, DFT meta-GGA SCAN; DOS at the Fermi energy = 0.66 states/eV/atom; formation energy from the elements = -0.215 eV per atom; SG = No. 139
1.0
-1.870 1.870 3.591
1.870 -1.870 3.591
1.870 1.870 -3.591
Mn Ni Au
1 2 1
Cartesian
0.000 0.000 0.000
1.870 0.000 1.796
0.000 1.870 1.796
0.000 0.000 3.591


Entry 3:
MnNiAu2, PBEsol geometry, DFT meta-GGA SCAN; DOS at the Fermi energy = 0.38 states/eV/atom; formation energy from the elements = -0.230 eV per atom; SG = No. 47
1.0
2.965 0.000 0.000
0.000 3.571 0.000
0.000 0.000 5.477
Mn Ni Au
1 1 2
Cartesian
0.000 0.000 0.000
0.000 0.000 2.739
1.483 1.785 1.393
1.483 1.785 4.084


Entry 4:
MnNi2Au, PBEsol geometry, DFT meta-GGA SCAN; DOS at the Fermi energy = 0.93 states/eV/atom; formation energy from the elements = -0.227 eV per atom; SG = No. 119
1.0
-1.829 1.829 3.757
1.829 -1.829 3.757
1.829 1.829 -3.757
Mn Ni Au
1 2 1
Cartesian
0.000 0.000 0.000
1.829 0.000 1.879
0.000 0.000 3.757
0.000 1.829 1.879


Entry 5:
MnNi2Au, PBEsol geometry, DFT meta-GGA SCAN; DOS at the Fermi energy = 0.54 states/eV/atom; formation energy from the elements = -0.170 eV per atom; SG = No. 47
1.0
2.760 0.000 0.000
0.000 3.290 0.000
0.000 0.000 5.533
Mn Ni Au
1 2 1
Cartesian
0.000 0.000 0.000
1.380 1.645 1.243
1.380 1.645 4.290
0.000 0.000 2.767


Entry 6:
MnNiAu2, PBEsol geometry, DFT meta-GGA SCAN; DOS at the Fermi energy = 0.33 states/eV/atom; formation energy from the elements = -0.230 eV per atom; SG = No. 25
1.0
2.885 0.000 0.000
0.000 3.446 0.000
0.000 0.000 5.834
Mn Ni Au
1 1 2
Cartesian
0.000 0.000 0.000
1.442 1.723 4.629
0.000 0.000 3.199
1.442 1.723 1.482


Entry 7:
MnNi2Au, PBEsol geometry, DFT meta-GGA SCAN; DOS at the Fermi energy = 0.61 states/eV/atom; formation energy from the elements = -0.176 eV per atom; SG = No. 25
1.0
2.722 0.000 0.000
0.000 3.493 0.000
0.000 0.000 5.345
Mn Ni Au
1 2 1
Cartesian
0.000 0.000 0.000
0.000 0.000 2.390
1.361 1.747 1.203
1.361 1.747 3.819


Entry 8:
MnNi2PAu, PBEsol geometry, DFT meta-GGA SCAN; DOS at the Fermi energy = 0.93 states/eV/atom; formation energy from the elements = 0.837 eV per atom; SG = No. 123
1.0
4.263 0.000 0.000
0.000 4.263 0.000
0.000 0.000 4.111
Mn Ni P Au
1 2 1 1
Cartesian
0.000 0.000 0.000
0.000 2.131 0.000
2.131 0.000 0.000
0.000 0.000 2.056
2.131 2.131 2.056


Entry 9:
Mn3AuO, PBEsol geometry, DFT meta-GGA SCAN; raw formation energy = 0.674 eV per atom; DOS at the Fermi energy = 0.69 states/eV/atom; SG = No. 221
1.0
4.820 0.000 0.000
0.000 4.820 0.000
0.000 0.000 4.820
Mn Au O
3 1 1
Cartesian
0.000 0.000 2.410
0.000 2.410 0.000
2.410 0.000 0.000
0.000 0.000 0.000
2.410 2.410 2.410


Entry 10:
MnSiAu2O, PBEsol geometry, DFT meta-GGA SCAN; raw formation energy = 0.092 eV per atom; DOS at the Fermi energy = 0.54 states/eV/atom; SG = No. 123
1.0
4.673 0.000 0.000
0.000 4.673 0.000
0.000 0.000 3.655
Mn Si Au O
1 1 2 1
Cartesian
0.000 0.000 0.000
2.336 2.336 0.000
0.000 2.336 1.828
2.336 0.000 1.828
0.000 0.000 1.828


Entry 11:
MnOs2AuSe, PBEsol geometry, DFT meta-GGA SCAN; raw formation energy = 1.401 eV per atom; DOS at the Fermi energy = 0.70 states/eV/atom; SG = No. 123
1.0
4.483 0.000 0.000
0.000 4.483 0.000
0.000 0.000 4.784
Mn Os Au Se
1 2 1 1
Cartesian
0.000 0.000 0.000
0.000 2.242 2.392
2.242 0.000 2.392
2.242 2.242 0.000
2.242 2.242 2.392


Entry 12:
MnPAu2, PBEsol geometry, DFT meta-GGA SCAN; DOS at the Fermi energy = 0.37 states/eV/atom; formation energy from the elements = -0.044 eV per atom; SG = No. 123
1.0
3.794 0.000 0.000
0.000 3.794 0.000
0.000 0.000 4.399
Mn P Au
1 1 2
Cartesian
0.000 0.000 0.000
1.897 1.897 0.000
0.000 1.897 2.200
1.897 0.000 2.200


Entry 13:
Mn2PAu, PBEsol geometry, DFT meta-GGA SCAN; DOS at the Fermi energy = 0.79 states/eV/atom; formation energy from the elements = 0.379 eV per atom; SG = No. 123
1.0
4.150 0.000 0.000
0.000 4.150 0.000
0.000 0.000 2.836
Mn P Au
2 1 1
Cartesian
0.000 2.075 0.000
2.075 0.000 0.000
0.000 0.000 1.418
2.075 2.075 1.418


Entry 14:
Mn2PAu, PBEsol geometry, DFT meta-GGA SCAN; DOS at the Fermi energy = 0.66 states/eV/atom; formation energy from the elements = -0.121 eV per atom; SG = No. 99
1.0
2.878 0.000 0.000
0.000 2.878 0.000
0.000 0.000 6.519
Mn P Au
2 1 1
Cartesian
0.000 0.000 0.000
1.439 1.439 1.669
0.000 0.000 2.625
1.439 1.439 4.687


Entry 15:
MnPAu2, PBEsol geometry, DFT meta-GGA SCAN; DOS at the Fermi energy = 0.38 states/eV/atom; formation energy from the elements = -0.151 eV per atom; SG = No. 38
1.0
3.223 0.000 0.000
0.000 1.476 6.324
0.000 -1.476 6.324
Mn P Au
1 1 2
Cartesian
0.000 0.000 0.000
1.611 0.000 5.550
0.000 0.000 3.646
1.611 0.000 8.144